Entry 1:
# Li3W, relaxed, DFT GGA-PBE
data_Li3W
_cell_length_a 5.5432
_cell_length_b 5.5432
_cell_length_c 5.5432
_cell_angle_alpha 117.86
_cell_angle_beta 117.86
_cell_angle_gamma 117.86
_symmetry_space_group_name_H-M 'P 1'
_symmetry_Int_Tables_number 1
loop_
_symmetry_equiv_pos_as_xyz
'x,y,z'
loop_
_atom_site_label
_atom_site_fract_x
_atom_site_fract_y
_atom_site_fract_z
Li1 0.0000 0.5000 0.5000
Li2 0.5000 0.0000 0.5000
Li3 0.5000 0.5000 0.0000
W1 0.0000 0.0000 0.0000
# Formation energy from the elements: 0.487 eV/atom
# Energy above the most stable polymorph in this dataset: 206.9 meV per atom
# Spin magnetization: 0.00 μB/f.u.

Entry 2:
# Li3W, relaxed, DFT GGA-PBE
data_Li3W
_cell_length_a 5.0680
_cell_length_b 5.0680
_cell_length_c 5.0680
_cell_angle_alpha 90.00
_cell_angle_beta 90.00
_cell_angle_gamma 90.00
_symmetry_space_group_name_H-M 'P 1'
_symmetry_Int_Tables_number 1
loop_
_symmetry_equiv_pos_as_xyz
'x,y,z'
loop_
_atom_site_label
_atom_site_fract_x
_atom_site_fract_y
_atom_site_fract_z
Li1 0.0000 0.2500 0.5000
Li2 0.0000 0.7500 0.5000
Li3 0.2500 0.5000 0.0000
Li4 0.5000 0.0000 0.2500
Li5 0.5000 0.0000 0.7500
Li6 0.7500 0.5000 0.0000
W1 0.0000 0.0000 0.0000
W2 0.5000 0.5000 0.5000
# Formation energy from the elements: 1.065 eV/atom
# Energy above the most stable polymorph in this dataset: 784.8 meV per atom
# Spin magnetization: 2.97 μB/f.u.

no.,uncorrected energy (Ry/atom)
1,-0.3077
2,-0.2652